Entry 1:
5
Lattice="5.366 0.000 0.000 0.000 4.514 0.000 0.000 0.000 5.366" Properties=species:S:1:pos:R:3 comment="CuGePtBr2, optimized geometry, DFT GGA-PBE" formation_energy_uncorrected_ev_per_fu=4.17 e_tot_ev_per_atom=-2.787 rho_g_cm3=6.27 pbc="T T T"
Pt 2.683 2.257 2.683
Br 2.683 0.000 0.000
Cu 0.000 2.257 0.000
Ge 0.000 0.000 0.000
Br 0.000 0.000 2.683



Entry 2:
10
Lattice="7.535 0.000 0.000 0.000 7.535 0.000 3.768 3.768 5.367" Properties=species:S:1:pos:R:3 comment="Rb2CuGeBr6, optimized geometry, DFT GGA-PBE" formation_energy_uncorrected_ev_per_fu=-9.70 e_tot_ev_per_atom=-3.038 rho_g_cm3=4.29 pbc="T T T"
Br 3.768 3.768 2.659
Br 5.620 1.915 0.000
Rb 3.768 7.535 2.684
Br 1.915 5.620 0.000
Br 7.535 7.535 2.708
Rb 7.535 3.768 2.684
Br 1.915 1.915 0.000
Cu 3.768 3.768 0.000
Ge 0.000 0.000 0.000
Br 5.620 5.620 0.000



Entry 3:
18
Lattice="4.267 0.000 0.000 -2.134 10.149 0.000 0.000 0.000 14.009" Properties=species:S:1:pos:R:3 comment="Rb2CuGeBr5, optimized geometry, DFT GGA-PBE" formation_energy_uncorrected_ev_per_fu=-9.24 e_tot_ev_per_atom=-3.139 rho_g_cm3=3.87 pbc="T T T"
Rb 0.000 2.552 4.341
Cu 2.134 0.891 13.337
Br 2.134 4.286 2.084
Br 2.134 4.109 12.231
Rb 2.134 7.597 11.346
Ge 2.134 5.886 7.166
Br 0.000 10.075 4.086
Br 0.000 5.864 9.088
Br 0.000 1.164 0.459
Br 2.134 3.229 7.088
Br 2.134 0.075 11.091
Br 0.000 6.920 0.083
Rb 2.134 7.768 2.780
Br 0.000 6.040 5.226
Cu 0.000 9.259 6.332
Br 2.134 8.986 7.463
Ge 0.000 4.263 0.161
Rb 0.000 2.381 9.784



Please write out number 1 again, unchanged.
5
Lattice="5.366 0.000 0.000 0.000 4.514 0.000 0.000 0.000 5.366" Properties=species:S:1:pos:R:3 comment="CuGePtBr2, optimized geometry, DFT GGA-PBE" formation_energy_uncorrected_ev_per_fu=4.17 e_tot_ev_per_atom=-2.787 rho_g_cm3=6.27 pbc="T T T"
Pt 2.683 2.257 2.683
Br 2.683 0.000 0.000
Cu 0.000 2.257 0.000
Ge 0.000 0.000 0.000
Br 0.000 0.000 2.683